1.
Compound: BaCuBr2
Source: the Alexandria database
Functional: GGA-PBEsol
Structure: optimized geometry

Cell lengths 5.150, 5.150, 5.146 Å; angles 66.80, 66.80, 66.79 degrees
Atoms (fractional coordinates):
1 Ba 0.500 0.500 0.000
2 Br 0.221 0.221 0.721
3 Br 0.779 0.779 0.279
4 Cu 0.000 0.000 0.500

Output
* Fermi-level density of states: 2.5 states/eV per cell
* ΔE to the lowest computed polymorph: 0 meV per atom
* magnetic moment: 0.00 μB per cell
* volume: 27.648 Å³ per atom
* space group: No. 166
* formation energy from raw total energies: -905 meV/atom

***

2.
Compound: MnRu2Pt
Source: the Alexandria database
Functional: GGA-PBEsol
Structure: optimized geometry

Cell lengths 4.269, 4.269, 4.269 Å; angles 60.00, 60.00, 60.00 degrees
Site moments in Bohr magnetons follow the coordinates.
Atoms (fractional coordinates):
1 Mn 0.000 0.000 0.000  3.01
2 Pt 0.500 0.500 0.500  0.00
3 Ru 0.750 0.750 0.750  0.02
4 Ru 0.250 0.250 0.250  0.02

Output
* Fermi-level density of states: 5.7 states/eV per cell
* magnetic moment: 3.16 μB per cell
* volume: 13.749 Å³ per atom
* DFT formation energy: 0.345 eV per atom
* space group: No. 225

***

3.
Compound: RbNa2LaC
Source: the Alexandria database
Functional: GGA-PBEsol
Structure: optimized geometry

Cell lengths 4.698, 5.864, 5.864 Å; angles 90.00, 90.00, 90.00 degrees
Atoms (fractional coordinates):
1 Na 0.000 0.000 0.500
2 Na 0.000 0.500 0.000
3 C 0.000 0.000 0.000
4 Rb 0.500 0.500 0.500
5 La 0.500 0.000 0.000

Output
* Fermi-level density of states: 4.5 states/eV per cell
* magnetic moment: 0.00 μB per cell
* volume: 32.310 Å³ per atom
* DFT formation energy: 0.546 eV per atom
* space group: No. 123

***

4.
Compound: RbAsOs2C
Source: the Alexandria database
Functional: GGA-PBEsol
Structure: optimized geometry

Cell lengths 4.642, 4.642, 4.566 Å; angles 90.00, 90.00, 90.00 degrees
Site moments in Bohr magnetons follow the coordinates.
Atoms (fractional coordinates):
1 As 0.000 0.000 0.000  -0.02
2 Os 0.000 0.500 0.000  0.80
3 Os 0.500 0.000 0.000  0.80
4 C 0.000 0.000 0.500  -0.03
5 Rb 0.500 0.500 0.500  0.01

Output
* Fermi-level density of states: 5.8 states/eV per cell
* magnetic moment: 1.73 μB per cell
* volume: 19.674 Å³ per atom
* DFT formation energy: 2.392 eV per atom
* space group: No. 123

***

What is the formula in the first record?
BaCuBr2

***

The highest Fermi-level density of states belongs to which entry?
RbAsOs2C